The following is a PBE calculation of a relaxed structure of Pr4NdHo10, from Alexandria.

raw total energy	-116.2	eV/cell
calculated density	6.730	Mg/m³
DOS(E_F)	28.13	states/eV/f.u.

Structure (CIF):
```
data_Pr4NdHo10
_symmetry_space_group_name_H-M 'I 4/m'
_symmetry_Int_Tables_number 87
_symmetry_space_group_name_Hall '-I 4'
_cell_length_a 12.251
_cell_length_b 12.251
_cell_length_c 7.751
_cell_angle_alpha 90.00
_cell_angle_beta 90.00
_cell_angle_gamma 90.00
loop_
_atom_site_label
_atom_site_type_symbol
_atom_site_fract_x
_atom_site_fract_y
_atom_site_fract_z
Pr1 Pr 0.101 0.701 0.000
Nd1 Nd 0.000 0.000 0.500
Ho1 Ho 0.000 0.500 0.250
Ho2 Ho 0.099 0.200 0.251
```